Entry 1:
GGA-PBEsol IrRh2, relaxed; energy above the most stable polymorph in this dataset = 52.1 meV/atom; total magnetization = 0.00 μB per atom; symmetry = C2/m, No. 12; energy of formation = 0.03 eV per atom
1.0
4.945 -1.349 0.000
4.945 1.349 0.000
-1.630 0.000 6.164
Ir Rh
2 4
Direct
0.028 0.028 0.305 Ir
0.972 0.972 0.695 Ir
0.307 0.307 0.361 Rh
0.363 0.363 0.972 Rh
0.637 0.637 0.028 Rh
0.693 0.693 0.639 Rh

=====

Entry 2:
GGA-PBEsol KHf2H, relaxed; total DFT energy (no corrections) = -5.743 eV per atom; total magnetization = 0.00 μB per atom; symmetry = Fd-3m, No. 227
1.0
0.000 4.509 4.509
4.509 0.000 4.509
4.509 4.509 0.000
K Hf H
2 4 2
Direct
0.125 0.125 0.125 K
0.875 0.875 0.875 K
0.000 0.500 0.500 Hf
0.500 0.000 0.500 Hf
0.500 0.500 0.000 Hf
0.500 0.500 0.500 Hf
0.375 0.375 0.375 H
0.625 0.625 0.625 H

=====

Entry 3:
GGA-PBEsol SiSnB2, relaxed; total magnetization = 0.00 μB per atom; symmetry = I-42d, No. 122; ΔE_f (raw) = 0.533 eV per atom
1.0
-2.363 2.363 5.406
2.363 -2.363 5.406
2.363 2.363 -5.406
Si Sn B
2 2 4
Direct
0.000 0.000 0.000 Si
0.750 0.250 0.500 Si
0.250 0.750 0.500 Sn
0.500 0.500 0.000 Sn
0.073 0.625 0.948 B
0.375 0.323 0.448 B
0.677 0.125 0.052 B
0.875 0.927 0.552 B

=====

Entry 4:
GGA-PBEsol Fe3Co5, relaxed; total magnetization = 2.03 μB per atom; symmetry = Pm, No. 6; energy of formation = 0.05 eV per atom
1.0
4.631 0.000 0.000
0.000 3.914 0.000
-0.911 0.000 4.756
Fe Co
3 5
Direct
0.000 0.000 0.000 Fe
0.001 0.000 0.499 Fe
0.747 0.500 0.619 Fe
0.244 0.500 0.883 Co
0.253 0.500 0.384 Co
0.497 0.000 0.242 Co
0.502 0.000 0.746 Co
0.749 0.500 0.117 Co

=====

Entry 5:
GGA-PBEsol Cr2C, relaxed; total magnetization = 0.00 μB per atom; symmetry = Pnnm, No. 58; energy of formation = -0.17 eV per atom
1.0
4.273 0.000 0.000
0.000 4.772 0.000
0.000 0.000 2.794
Cr C
4 2
Direct
0.238 0.149 0.000 Cr
0.262 0.649 0.500 Cr
0.738 0.351 0.500 Cr
0.762 0.851 0.000 Cr
0.000 0.500 0.000 C
0.500 0.000 0.500 C

=====

Entry 6:
GGA-PBEsol CaBiClO2, relaxed; total magnetization = 0.00 μB per atom; symmetry = P2_1/m, No. 11; ΔE_f (raw) = -2.047 eV per atom
1.0
6.341 0.000 0.000
0.000 4.108 0.000
-1.949 0.000 7.455
Ca Bi Cl O
2 2 2 4
Direct
0.172 0.250 0.420 Ca
0.828 0.750 0.580 Ca
0.181 0.250 0.907 Bi
0.819 0.750 0.093 Bi
0.441 0.750 0.688 Cl
0.559 0.250 0.312 Cl
0.012 0.750 0.358 O
0.029 0.750 0.901 O
0.971 0.250 0.099 O
0.988 0.250 0.642 O

=====

Entry 7:
GGA-PBEsol LaFeSi2, relaxed; total magnetization = 0.31 μB per atom; symmetry = R3m, No. 160; ΔE_f (raw) = 0.277 eV per atom
1.0
1.492 0.861 8.664
-1.492 0.861 8.664
0.000 -1.722 8.664
La Fe Si
1 1 2
Direct
0.000 0.000 0.000 La
0.237 0.237 0.237 Fe
0.511 0.511 0.511 Si
0.768 0.768 0.768 Si

=====

Entry 8:
GGA-PBEsol Li13Co15O28, relaxed; total magnetization = 0.03 μB per atom; symmetry = P-1, No. 2; ΔE_f (raw) = -1.444 eV per atom
1.0
7.464 0.000 0.000
-2.127 7.684 0.000
-2.138 -2.661 7.741
Li Co O
13 15 28
Direct
0.000 0.000 0.000 Li
0.071 0.713 0.785 Li
0.142 0.429 0.571 Li
0.212 0.145 0.356 Li
0.283 0.855 0.139 Li
0.356 0.571 0.929 Li
0.428 0.289 0.717 Li
0.572 0.711 0.283 Li
0.644 0.429 0.071 Li
0.717 0.145 0.861 Li
0.788 0.855 0.644 Li
0.858 0.571 0.429 Li
0.929 0.287 0.215 Li
0.000 0.500 0.000 Co
0.072 0.215 0.786 Co
0.139 0.926 0.572 Co
0.210 0.639 0.357 Co
0.286 0.357 0.143 Co
0.357 0.072 0.929 Co
0.426 0.783 0.716 Co
0.500 0.000 0.500 Co
0.500 0.500 0.500 Co
0.574 0.217 0.284 Co
0.643 0.928 0.071 Co
0.714 0.643 0.857 Co
0.790 0.361 0.643 Co
0.861 0.074 0.428 Co
0.928 0.785 0.214 Co
0.016 0.264 0.997 O
0.057 0.451 0.790 O
0.087 0.979 0.784 O
0.128 0.164 0.575 O
0.154 0.689 0.569 O
0.203 0.879 0.366 O
0.230 0.406 0.354 O
0.270 0.593 0.146 O
0.302 0.122 0.140 O
0.342 0.308 0.932 O
0.373 0.836 0.927 O
0.410 0.017 0.712 O
0.444 0.549 0.711 O
0.479 0.743 0.504 O
0.521 0.257 0.496 O
0.556 0.451 0.289 O
0.590 0.983 0.288 O
0.627 0.164 0.073 O
0.658 0.692 0.068 O
0.698 0.878 0.860 O
0.730 0.407 0.854 O
0.770 0.594 0.646 O
0.797 0.121 0.634 O
0.846 0.311 0.431 O
0.872 0.836 0.425 O
0.913 0.021 0.216 O
0.943 0.549 0.210 O
0.984 0.736 0.003 O

=====

Entry 9:
GGA-PBEsol FeNiP, relaxed; total magnetization = 1.13 μB per atom; symmetry = F-43m, No. 216; energy of formation = -0.10 eV per atom
1.0
0.000 2.664 2.664
2.664 0.000 2.664
2.664 2.664 0.000
Fe Ni P
1 1 1
Direct
0.000 0.000 0.000 Fe
0.750 0.750 0.750 Ni
0.500 0.500 0.500 P

=====

Entry 10:
GGA-PBEsol La2BrCl, relaxed; energy above the most stable polymorph in this dataset = 165.3 meV/atom; total magnetization = 0.00 μB per atom; symmetry = Immm, No. 71; ΔE_f (raw) = -1.318 eV per atom
1.0
-1.802 3.169 4.816
1.802 -3.169 4.816
1.802 3.169 -4.816
La Br Cl
2 1 1
Direct
0.238 0.238 0.000 La
0.762 0.762 0.000 La
0.500 0.000 0.500 Br
0.000 0.500 0.500 Cl

=====

Entry 11:
GGA-PBEsol Al2RuCl, relaxed; energy above the most stable polymorph in this dataset = 0.0 meV/atom; total magnetization = 0.00 μB per atom; symmetry = R-3m, No. 166; ΔE_f (raw) = -0.449 eV per atom
1.0
1.535 0.886 7.612
-1.535 0.886 7.612
0.000 -1.772 7.612
Al Ru Cl
2 1 1
Direct
0.243 0.243 0.243 Al
0.757 0.757 0.757 Al
0.500 0.500 0.500 Ru
0.000 0.000 0.000 Cl

=====

Entry 12:
GGA-PBEsol CaHgW2, relaxed; total magnetization = 0.00 μB per atom; symmetry = C2/m, No. 12; energy of formation = 0.73 eV per atom
1.0
5.459 -1.501 0.000
5.459 1.501 0.000
-1.335 0.000 4.595
Ca Hg W
1 1 2
Direct
0.000 0.000 0.000 Ca
0.500 0.500 0.500 Hg
0.235 0.235 0.736 W
0.765 0.765 0.264 W

=====

Entry 13:
GGA-PBEsol Li2ZrCl, relaxed; energy above the most stable polymorph in this dataset = 934.8 meV/atom; total magnetization = 0.75 μB per atom; symmetry = Fm-3m, No. 225; ΔE_f (raw) = 0.467 eV per atom
1.0
0.000 3.452 3.452
3.452 0.000 3.452
3.452 3.452 0.000
Li Zr Cl
2 1 1
Direct
0.250 0.250 0.250 Li
0.750 0.750 0.750 Li
0.000 0.000 0.000 Zr
0.500 0.500 0.500 Cl

=====

Entry 14:
GGA-PBEsol CdFe2BAu, relaxed; total magnetization = 1.23 μB per atom; symmetry = P4/mmm, No. 123; energy of formation = 2.38 eV per atom
1.0
4.742 0.000 0.000
0.000 4.742 0.000
0.000 0.000 4.940
Cd Fe B Au
1 2 1 1
Direct
0.000 0.000 0.000 Cd
0.000 0.500 0.000 Fe
0.500 0.000 0.000 Fe
0.500 0.500 0.500 B
0.000 0.000 0.500 Au

=====

Entry 15:
GGA-PBEsol Cu4Si, relaxed; total magnetization = 0.00 μB per atom; symmetry = I4/m, No. 87; ΔE_f (raw) = -0.093 eV per atom
1.0
-2.800 2.800 1.821
2.800 -2.800 1.821
2.800 2.800 -1.821
Cu Si
4 1
Direct
0.107 0.699 0.806 Cu
0.301 0.107 0.409 Cu
0.699 0.893 0.591 Cu
0.893 0.301 0.194 Cu
0.500 0.500 0.000 Si

=====

Entry 16:
GGA-PBEsol BaSr2Cu2, relaxed; total magnetization = 0.00 μB per atom; symmetry = P4/mbm, No. 127; energy of formation = 0.04 eV per atom
1.0
8.197 0.000 0.000
0.000 8.197 0.000
0.000 0.000 4.617
Ba Sr Cu
2 4 4
Direct
0.000 0.000 0.000 Ba
0.500 0.500 0.000 Ba
0.166 0.334 0.500 Sr
0.334 0.834 0.500 Sr
0.666 0.166 0.500 Sr
0.834 0.666 0.500 Sr
0.105 0.605 0.000 Cu
0.395 0.105 0.000 Cu
0.605 0.895 0.000 Cu
0.895 0.395 0.000 Cu

=====

Entry 17:
GGA-PBEsol K2Se2O7, relaxed; total magnetization = 0.00 μB per atom; symmetry = C2/c, No. 15; ΔE_f (raw) = -1.104 eV per atom
1.0
6.460 -3.771 0.000
6.460 3.771 0.000
-0.425 0.000 7.488
K Se O
4 4 14
Direct
0.003 0.707 0.634 K
0.293 0.997 0.866 K
0.707 0.003 0.134 K
0.997 0.293 0.366 K
0.214 0.573 0.129 Se
0.427 0.786 0.371 Se
0.573 0.214 0.629 Se
0.786 0.427 0.871 Se
0.033 0.638 0.274 O
0.140 0.749 0.977 O
0.251 0.860 0.523 O
0.317 0.336 0.054 O
0.336 0.317 0.554 O
0.362 0.967 0.226 O
0.435 0.565 0.250 O
0.565 0.435 0.750 O
0.638 0.033 0.774 O
0.664 0.683 0.446 O
0.683 0.664 0.946 O
0.749 0.140 0.477 O
0.860 0.251 0.023 O
0.967 0.362 0.726 O

=====

Entry 18:
GGA-PBEsol Dy2WO6, relaxed; energy above the most stable polymorph in this dataset = 0.0 meV/atom; total magnetization = 0.00 μB per atom; symmetry = P2/c, No. 13; ΔE_f (raw) = -3.102 eV per atom
1.0
7.594 0.000 0.000
0.000 5.312 0.000
-2.863 0.000 10.931
Dy W O
8 4 24
Direct
0.000 0.181 0.250 Dy
0.000 0.819 0.750 Dy
0.297 0.315 0.922 Dy
0.297 0.685 0.422 Dy
0.500 0.238 0.250 Dy
0.500 0.762 0.750 Dy
0.703 0.315 0.578 Dy
0.703 0.685 0.078 Dy
0.222 0.246 0.614 W
0.222 0.754 0.114 W
0.778 0.246 0.886 W
0.778 0.754 0.386 W
0.012 0.143 0.888 O
0.012 0.857 0.388 O
0.133 0.346 0.451 O
0.133 0.654 0.951 O
0.212 0.483 0.229 O
0.212 0.517 0.729 O
0.286 0.038 0.772 O
0.286 0.962 0.272 O
0.352 0.025 0.070 O
0.352 0.975 0.570 O
0.437 0.462 0.603 O
0.437 0.538 0.103 O
0.563 0.462 0.897 O
0.563 0.538 0.397 O
0.648 0.025 0.430 O
0.648 0.975 0.930 O
0.714 0.038 0.728 O
0.714 0.962 0.228 O
0.788 0.483 0.271 O
0.788 0.517 0.771 O
0.867 0.346 0.049 O
0.867 0.654 0.549 O
0.988 0.143 0.612 O
0.988 0.857 0.112 O

=====

Entry 19:
GGA-PBEsol Ti3HgBi, relaxed; total magnetization = 0.34 μB per atom; symmetry = Pm-3m, No. 221; energy of formation = 1.09 eV per atom
1.0
5.053 0.000 0.000
0.000 5.053 0.000
0.000 0.000 5.053
Ti Hg Bi
3 1 1
Direct
0.000 0.000 0.500 Ti
0.000 0.500 0.000 Ti
0.500 0.000 0.000 Ti
0.500 0.500 0.500 Hg
0.000 0.000 0.000 Bi

=====

Entry 20:
GGA-PBEsol LiTiPd2, relaxed; total magnetization = 0.00 μB per atom; symmetry = Fm-3m, No. 225; energy of formation = -0.51 eV per atom
1.0
0.000 3.041 3.041
3.041 0.000 3.041
3.041 3.041 0.000
Li Ti Pd
1 1 2
Direct
0.000 0.000 0.000 Li
0.500 0.500 0.500 Ti
0.250 0.250 0.250 Pd
0.750 0.750 0.750 Pd